# 1
Here is NaScRe2C at its PBEsol-relaxed geometry from the Alexandria database. Energies are from SCAN.

It has space group P4/mmm (No. 123), with a = 4.0596 Å, b = 4.0596 Å, c = 4.5683 Å, α = 90.00°, β = 90.00° and γ = 90.00°. The asymmetric unit holds Na at (0.0000, 0.0000, 0.0000), Sc at (0.5000, 0.5000, 0.0000), Re at (0.0000, 0.5000, 0.5000) and C at (0.0000, 0.0000, 0.5000).

For the calculated formation energy, the calculation gives 0.34 eV per atom.

# 2
Here is NaRe2TeC at its PBEsol-relaxed geometry from the Alexandria database. Energies are from SCAN.

It has space group P4/mmm (No. 123), with a = 4.6744 Å, b = 4.6744 Å, c = 4.7890 Å, α = 90.00°, β = 90.00° and γ = 90.00°. The asymmetric unit holds Na at (0.0000, 0.0000, 0.0000), Re at (0.0000, 0.5000, 0.0000), Te at (0.0000, 0.0000, 0.5000) and C at (0.5000, 0.5000, 0.5000).

The raw formation energy is 4.0401 eV/atom.

# 3
Here is NaRh2C at its PBEsol-relaxed geometry from the Alexandria database. Energies are from SCAN.

It has space group Fm-3m (No. 225), with a = 5.6941 Å, b = 5.6941 Å, c = 5.6941 Å, α = 90.00°, β = 90.00° and γ = 90.00°. The asymmetric unit holds Na at (0.0000, 0.0000, 0.0000), Rh at (0.2500, 0.2500, 0.2500) and C at (0.0000, 0.0000, 0.5000).

For the calculated formation energy, the calculation gives 1.20 eV per atom.